# AlCr2Co

A relaxed structure of AlCr2Co (PBE, Alexandria via LeMat-Bulk). Values from VASP.

```
&SYSTEM
  ibrav = 0, nat = 4, ntyp = 3
/
ATOMIC_SPECIES
Co 58.93 Co.upf
Al 26.98 Al.upf
Cr 52.00 Cr.upf
CELL_PARAMETERS angstrom
-4.016 0.417 -0.684
-2.468 -3.260 0.242
-2.651 -0.335 3.103
ATOMIC_POSITIONS angstrom
Co -6.851 -2.383 1.996
Al -4.567 -1.589 1.331
Cr -2.284 -0.794 0.665
Cr 0.000 0.000 0.000
```

Magnetic moment ... 0.01 μB/cell
Mass density ... 6.493 g/cm3
Energy of formation from the pure elements ... -0.4 eV/f.u.